# 1
A relaxed structure of RbFeCu. Source: Alexandria, functional PBE-GGA.

a b c (Å): 4.280 4.720 10.157
angles (deg): 90.04 90.08 90.00
Site moments in Bohr magnetons follow the coordinates.
Sites, in units of the cell vectors:
Rb1 0.515 0.997 0.954  0.00
Rb2 0.015 0.495 0.378  -0.01
Cu1 0.016 0.992 0.659  0.09
Cu2 0.016 0.492 0.708  0.08
Fe1 0.516 0.251 0.647  2.67
Fe2 0.516 0.733 0.647  2.67

Values from the calculation:
N(E_F): 2.70 states/eV/f.u.
space-group type: P1 (1)
crystal system: triclinic
energy of formation from the pure elements: 500 meV/atom
E_tot: -24.05 eV/cell

# 2
A relaxed structure of HfZrSe4. Source: Alexandria, functional PBE-GGA.

a b c (Å): 3.787 6.557 14.085
angles (deg): 97.75 90.00 90.00
Sites, in units of the cell vectors:
Zr1 0.000 0.500 0.500
Zr2 0.500 0.500 0.000
Se1 0.500 0.869 0.113
Se2 0.000 0.131 0.387
Se3 0.000 0.869 0.613
Se4 0.500 0.363 0.614
Se5 0.000 0.363 0.114
Se6 0.500 0.637 0.386
Se7 0.500 0.131 0.887
Se8 0.000 0.637 0.886
Hf1 0.500 0.000 0.500
Hf2 0.000 0.000 0.000

Values from the calculation:
N(E_F): 0.08 states/eV/f.u.
space-group type: C2/m (12)
crystal system: monoclinic
raw formation energy: -1.3429 eV/atom
E_tot: -80.99 eV/cell

# 3
A relaxed structure of SiTc3Te. Source: Alexandria, functional PBE-GGA.

a b c (Å): 4.495 4.495 4.495
angles (deg): 90.00 90.00 90.00
Site moments in Bohr magnetons follow the coordinates.
Sites, in units of the cell vectors:
Tc1 0.000 0.000 0.500  0.74
Tc2 0.000 0.500 0.000  0.68
Tc3 0.500 0.000 0.000  0.71
Si1 0.000 0.000 0.000  -0.02
Te1 0.500 0.500 0.500  -0.01

Values from the calculation:
N(E_F): 6.54 states/eV/f.u.
space-group type: Pm-3m (221)
crystal system: cubic
raw formation energy: 0.8479 eV/atom
E_tot: -35.42 eV/cell

# 4
A relaxed structure of LiB2C2. Source: Alexandria, functional PBE-GGA.

a b c (Å): 4.693 5.414 7.327
angles (deg): 90.00 89.87 90.00
Sites, in units of the cell vectors:
B1 0.669 0.499 0.257
B2 0.168 0.249 0.253
B3 0.331 0.499 0.743
B4 0.329 0.001 0.746
B5 0.834 0.752 0.744
B6 0.832 0.249 0.747
B7 0.166 0.752 0.256
B8 0.671 0.001 0.254
Li1 0.500 0.243 0.500
Li2 0.500 0.757 0.500
Li3 0.000 0.504 0.500
Li4 0.500 0.744 0.000
C1 0.169 0.749 0.742
C2 0.332 0.501 0.262
C3 0.336 0.999 0.255
C4 0.668 0.501 0.738
C5 0.831 0.749 0.258
C6 0.166 0.251 0.740
C7 0.664 0.999 0.745
C8 0.834 0.251 0.260

Values from the calculation:
N(E_F): 0.99 states/eV/f.u.
space-group type: P2 (3)
crystal system: monoclinic
energy of formation from the pure elements: -24 meV/atom
E_tot: -135.35 eV/cell

# 5
A relaxed structure of Cs11TeAu2. Source: Alexandria, functional PBE-GGA.

a b c (Å): 13.988 14.745 14.745
angles (deg): 74.95 61.69 61.69
Sites, in units of the cell vectors:
Cs1 0.000 0.000 0.000
Cs2 0.087 0.572 0.704
Cs3 0.862 0.928 0.796
Cs4 0.757 0.468 0.829
Cs5 0.861 0.786 0.214
Cs6 0.413 0.796 0.928
Cs7 0.946 0.829 0.468
Cs8 0.243 0.532 0.171
Cs9 0.500 0.500 0.500
Cs10 0.554 0.032 0.671
Cs11 0.362 0.296 0.428
Cs12 0.054 0.171 0.532
Cs13 0.138 0.072 0.204
Cs14 0.139 0.214 0.786
Cs15 0.361 0.714 0.286
Cs16 0.446 0.968 0.329
Cs17 0.638 0.704 0.572
Cs18 0.913 0.428 0.296
Cs19 0.743 0.671 0.032
Cs20 0.639 0.286 0.714
Cs21 0.587 0.204 0.072
Cs22 0.257 0.329 0.968
Te1 0.750 0.750 0.750
Te2 0.250 0.250 0.250
Au1 0.134 0.819 0.181
Au2 0.866 0.181 0.819
Au3 0.634 0.681 0.319
Au4 0.366 0.319 0.681

Values from the calculation:
N(E_F): 10.53 states/eV/f.u.
space-group type: Ibam (72)
crystal system: orthorhombic
raw formation energy: -0.2495 eV/atom
E_tot: -45.16 eV/cell

# 6
A relaxed structure of Mn2FeRe. Source: Alexandria, functional PBE-GGA.

a b c (Å): 4.084 2.556 4.822
angles (deg): 80.66 90.00 90.00
Site moments in Bohr magnetons follow the coordinates.
Sites, in units of the cell vectors:
Mn1 0.000 0.988 0.990  1.67
Mn2 0.000 0.512 0.510  1.67
Re1 0.500 0.250 0.250  -0.27
Fe1 0.500 0.750 0.750  2.16

Values from the calculation:
N(E_F): 4.06 states/eV/f.u.
space-group type: P2/m (10)
crystal system: monoclinic
energy of formation from the pure elements: 98 meV/atom
E_tot: -38.86 eV/cell

# 7
A relaxed structure of LiPuCdPt. Source: Alexandria, functional PBE-GGA.

a b c (Å): 4.840 4.840 4.840
angles (deg): 60.00 60.00 60.00
Site moments in Bohr magnetons follow the coordinates.
Sites, in units of the cell vectors:
Pu1 0.000 0.000 0.000  5.31
Li1 0.750 0.750 0.750  0.05
Pt1 0.250 0.250 0.250  -0.09
Cd1 0.500 0.500 0.500  0.02

Values from the calculation:
N(E_F): 8.66 states/eV/f.u.
space-group type: F-43m (216)
crystal system: cubic
energy of formation from the pure elements: -387 meV/atom
E_tot: -24.75 eV/cell

# 8
A relaxed structure of KTc2Ru. Source: Alexandria, functional PBE-GGA.

a b c (Å): 4.932 4.932 2.745
angles (deg): 90.00 90.00 90.00
Sites, in units of the cell vectors:
Ru1 0.000 0.500 0.500
K1 0.500 0.000 0.500
Tc1 0.000 0.000 0.000
Tc2 0.500 0.500 0.000

Values from the calculation:
N(E_F): 6.87 states/eV/f.u.
space-group type: P4/mmm (123)
crystal system: tetragonal
energy of formation from the pure elements: 1562 meV/atom
E_tot: -24.86 eV/cell

# 9
A relaxed structure of ErPu2Hg3. Source: Alexandria, functional PBE-GGA.

a b c (Å): 3.658 3.658 11.681
angles (deg): 90.00 90.00 90.00
Site moments in Bohr magnetons follow the coordinates.
Sites, in units of the cell vectors:
Hg1 0.000 0.000 0.000  0.04
Hg2 0.000 0.000 0.654  0.00
Hg3 0.000 0.000 0.346  0.00
Pu1 0.500 0.500 0.171  5.53
Pu2 0.500 0.500 0.829  5.53
Er1 0.500 0.500 0.500  -0.02

Values from the calculation:
N(E_F): 17.54 states/eV/f.u.
space-group type: P4/mmm (123)
crystal system: tetragonal
energy of formation from the pure elements: -219 meV/atom
E_tot: -35.45 eV/cell

# 10
A relaxed structure of Pt2Rh. Source: Alexandria, functional PBE-GGA.

a b c (Å): 5.045 5.045 5.045
angles (deg): 105.24 105.24 118.31
Sites, in units of the cell vectors:
Pt1 0.648 0.852 0.500
Pt2 0.852 0.352 0.204
Pt3 0.352 0.148 0.500
Pt4 0.148 0.648 0.796
Rh1 0.750 0.750 0.000
Rh2 0.250 0.250 0.000

Values from the calculation:
N(E_F): 5.64 states/eV/f.u.
space-group type: I4/mcm (140)
crystal system: tetragonal
energy of formation from the pure elements: 307 meV/atom
E_tot: -37.02 eV/cell

# 11
A relaxed structure of Sm5Dy2Y2. Source: Alexandria, functional PBE-GGA.

a b c (Å): 11.873 6.778 10.118
angles (deg): 109.57 125.93 90.00
Sites, in units of the cell vectors:
Y1 0.869 0.427 0.746
Y2 0.622 0.181 0.254
Y3 0.378 0.927 0.746
Y4 0.131 0.681 0.254
Sm1 0.991 0.153 0.500
Sm2 0.411 0.529 0.287
Sm3 0.009 0.653 0.500
Sm4 0.205 0.160 0.898
Sm5 0.795 0.262 0.102
Sm6 0.807 0.762 0.102
Sm7 0.624 0.742 0.713
Sm8 0.376 0.029 0.287
Sm9 0.193 0.660 0.898
Sm10 0.589 0.242 0.713
Dy1 0.256 0.347 0.500
Dy2 0.500 0.536 0.000
Dy3 0.744 0.847 0.500
Dy4 0.000 0.036 0.000

Values from the calculation:
N(E_F): 13.79 states/eV/f.u.
space-group type: Ima2 (46)
crystal system: orthorhombic
energy of formation from the pure elements: 215 meV/atom
E_tot: -87.58 eV/cell

# 12
A relaxed structure of Li5AcIn7. Source: Alexandria, functional PBE-GGA.

a b c (Å): 5.871 7.632 7.632
angles (deg): 81.44 67.38 67.38
Sites, in units of the cell vectors:
Li1 0.497 0.999 0.498
Li2 0.006 0.498 0.999
Li3 0.006 0.999 0.498
Li4 0.497 0.498 0.999
Li5 0.728 0.772 0.772
Ac1 0.996 0.004 0.004
In1 0.652 0.348 0.348
In2 0.347 0.653 0.653
In3 0.273 0.227 0.227
In4 0.990 0.664 0.357
In5 0.510 0.779 0.201
In6 0.990 0.357 0.664
In7 0.510 0.201 0.779

Values from the calculation:
N(E_F): 5.70 states/eV/f.u.
space-group type: Imm2 (44)
crystal system: orthorhombic
energy of formation from the pure elements: -312 meV/atom
E_tot: -36.90 eV/cell

# 13
A relaxed structure of K2Rh2O5. Source: Alexandria, functional PBE-GGA.

a b c (Å): 3.986 6.390 6.556
angles (deg): 103.74 90.00 108.17
Sites, in units of the cell vectors:
O1 0.880 0.761 0.362
O2 0.120 0.239 0.638
O3 0.319 0.637 0.005
O4 0.000 0.000 0.000
O5 0.681 0.363 0.995
K1 0.413 0.826 0.653
K2 0.587 0.174 0.347
Rh1 0.852 0.704 0.069
Rh2 0.148 0.296 0.931

Values from the calculation:
N(E_F): 5.00 states/eV/f.u.
space-group type: C2/m (12)
crystal system: monoclinic
raw formation energy: -0.7969 eV/atom
E_tot: -48.86 eV/cell

# 14
A relaxed structure of MgCo3. Source: Alexandria, functional PBE-GGA.

a b c (Å): 3.999 2.583 4.933
angles (deg): 77.58 90.00 90.00
Site moments in Bohr magnetons follow the coordinates.
Sites, in units of the cell vectors:
Co1 0.000 0.541 0.518  1.62
Co2 0.000 0.959 0.982  1.62
Co3 0.500 0.750 0.750  1.67
Mg1 0.500 0.250 0.250  -0.03

Values from the calculation:
N(E_F): 4.06 states/eV/f.u.
space-group type: P2/m (10)
crystal system: monoclinic
energy of formation from the pure elements: 163 meV/atom
E_tot: -22.26 eV/cell

# 15
A relaxed structure of Ho2Sc2Tc. Source: Alexandria, functional PBE-GGA.

a b c (Å): 6.434 6.773 6.786
angles (deg): 104.90 90.00 118.36
Sites, in units of the cell vectors:
Sc1 0.012 0.219 0.480
Sc2 0.988 0.781 0.520
Sc3 0.207 0.219 0.980
Sc4 0.793 0.781 0.020
Ho1 0.556 0.293 0.615
Ho2 0.736 0.293 0.115
Ho3 0.264 0.707 0.885
Ho4 0.444 0.707 0.385
Tc1 0.761 0.000 0.750
Tc2 0.239 0.000 0.250

Values from the calculation:
N(E_F): 4.69 states/eV/f.u.
space-group type: C2/c (15)
crystal system: monoclinic
energy of formation from the pure elements: -60 meV/atom
E_tot: -64.97 eV/cell